Record 1
First-principles (PBE) data for an optimized crystal structure of Dy8Bi2Os, as listed in Alexandria.

Lattice parameters (Å, degrees): 5.0117 6.7498 10.0808 105.49 104.39 90.00
Last column: nearest neighbours and their distance in Å.
Fractional positions:
Dy 0.4121 0.5427 0.8242  1 Os 3.09, 3 Dy 3.38-3.45, 2 Bi 3.43
Dy 0.6421 0.0128 0.2841  1 Os 2.75
Dy 0.3579 0.9872 0.7159  1 Os 2.75
Dy 0.0178 0.7882 0.0356  2 Os 2.95, 1 Dy 3.12, 1 Bi 3.23
Dy 0.5879 0.4573 0.1758  1 Os 3.09, 3 Dy 3.38-3.45, 2 Bi 3.43
Dy 0.7818 0.6706 0.5636  3 Bi 3.21-3.35, 4 Dy 3.36-3.40
Dy 0.9822 0.2118 0.9644  2 Os 2.95, 1 Dy 3.12, 1 Bi 3.23
Dy 0.2182 0.3294 0.4364  3 Bi 3.21-3.35, 4 Dy 3.36-3.40
Bi 0.8191 0.2357 0.6382  9 Dy 3.21-3.43
Bi 0.1809 0.7643 0.3618  9 Dy 3.21-3.43
Os 0.5000 0.0000 0.0000  6 Dy 2.75-2.95

Properties
The total energy is -59.38 eV/f.u. The value obtained for the magnetic moment is 0.0 μB per cell. The formation energy comes out at -324 meV per atom. The density of states at the Fermi level comes out at 8.60 states/eV per cell.

***

Record 2
First-principles (PBE) data for an optimized crystal structure of Al3BPd, as listed in Alexandria.

Lattice parameters (Å, degrees): 4.6763 4.6763 4.6763 90.00 90.00 90.00
Last column: nearest neighbours and their distance in Å.
Fractional positions:
Al 0.0000 0.5000 0.0000  2 Pd 2.34
Al 0.5000 0.0000 0.0000  2 Pd 2.34
Al 0.0000 0.0000 0.5000  2 Pd 2.34
Pd 0.0000 0.0000 0.0000  6 Al 2.34
B 0.5000 0.5000 0.5000  12 Al 3.31

Properties
The total energy is -19.23 eV/f.u. The value obtained for the magnetic moment is 0.0 μB per cell. The formation energy comes out at 774 meV per atom. The density of states at the Fermi level comes out at 2.72 states/eV per cell.

***

Record 3
First-principles (PBE) data for an optimized crystal structure of CsHgGeTe3, as listed in Alexandria.

Lattice parameters (Å, degrees): 8.0402 8.0402 9.2031 69.09 69.09 67.18
Last column: nearest neighbours and their distance in Å.
Fractional positions:
Te 0.6765 0.1527 0.8223  1 Ge 2.68, 1 Hg 2.68
Te 0.8473 0.3235 0.1777  1 Ge 2.68, 1 Hg 2.68
Te 0.2377 0.2377 0.6857  1 Ge 2.56
Te 0.3235 0.8473 0.1777  1 Ge 2.68, 1 Hg 2.68
Te 0.1527 0.6765 0.8223  1 Ge 2.68, 1 Hg 2.68
Te 0.7623 0.7623 0.3143  1 Ge 2.56
Hg 0.7512 0.2488 0.5000  2 Te 2.68
Hg 0.2488 0.7512 0.5000  2 Te 2.68
Cs 0.6799 0.6799 0.7719  7 Te 3.87-4.11
Cs 0.3201 0.3201 0.2281  7 Te 3.87-4.11
Ge 0.0280 0.0280 0.8505  1 Ge 2.52, 3 Te 2.56-2.68
Ge 0.9720 0.9720 0.1495  1 Ge 2.52, 3 Te 2.56-2.68

Properties
The total energy is -17.43 eV/f.u. The value obtained for the magnetic moment is 0.0 μB per cell. As for the formation energy (no corrections): -2.23 eV per formula unit.

***

Record 4
First-principles (PBE) data for an optimized crystal structure of Rb2YIrI6, as listed in Alexandria.

Lattice parameters (Å, degrees): 8.3267 8.3267 8.3291 60.01 60.01 90.00
Last column: nearest neighbours and their distance in Å.
Fractional positions:
I 0.7581 0.7581 0.4838  1 Ir 2.85, 1 Y 3.04
I 0.7582 0.7582 0.0000  1 Ir 2.85, 1 Y 3.04
I 0.7582 0.2418 0.0000  1 Ir 2.85, 1 Y 3.04
I 0.2419 0.2419 0.5162  1 Ir 2.85, 1 Y 3.04
I 0.2418 0.7582 0.0000  1 Ir 2.85, 1 Y 3.04
I 0.2418 0.2418 0.0000  1 Ir 2.85, 1 Y 3.04
Rb 0.2500 0.7500 0.5000  12 I 4.16-4.17
Rb 0.7500 0.2500 0.5000  12 I 4.16-4.17
Ir 0.0000 0.0000 0.0000  6 I 2.85
Y 0.5000 0.5000 0.0000  6 I 3.04

Properties
The total energy is -34.89 eV/f.u. The value obtained for the magnetic moment is 2.0 μB per cell. As for the formation energy (no corrections): -8.33 eV per formula unit. The density of states at the Fermi level comes out at 0.00 states/eV per cell.

***

| no. | calculated volume (A^3/atom) |
| --- | --- |
| 1 | 28.86 |
| 2 | 20.45 |
| 3 | 41.29 |
| 4 | 40.85 |